DyErPu2P4 | Alexandria via LeMat-Bulk | PBE-GGA | optimized geometry; calculated volume = 179 Å³/cell; uncorrected energy = -70.26 eV for the cell shown; formation energy = -1.35 eV per atom
1.0
6.885 0.000 0.000
0.000 3.996 0.000
-2.327 0.000 6.498
Dy Er Pu P
1 1 2 4
Direct
0.000 0.000 0.000
0.000 0.500 0.500
0.500 0.000 0.500
0.500 0.500 0.000
0.252 0.000 0.751
0.253 0.500 0.253
0.747 0.500 0.747
0.748 0.000 0.249

Dy2ErPuP4 | Alexandria via LeMat-Bulk | PBE-GGA | optimized geometry; calculated volume = 180 Å³/cell; uncorrected energy = -61.65 eV for the cell shown; formation energy = -1.49 eV per atom
1.0
6.900 0.000 0.000
0.000 3.999 0.000
-2.304 0.000 6.509
Dy Er Pu P
2 1 1 4
Direct
0.000 0.000 0.000
0.500 0.500 0.000
0.000 0.500 0.500
0.500 0.000 0.500
0.250 0.000 0.747
0.253 0.500 0.254
0.747 0.500 0.746
0.750 0.000 0.253

Dy2ErP3Rh12 | Alexandria via LeMat-Bulk | PBE-GGA | optimized geometry; calculated volume = 296 Å³/cell; uncorrected energy = -125.76 eV for the cell shown; formation energy = -0.42 eV per atom
1.0
4.469 2.580 4.271
-4.469 2.580 4.271
0.000 -5.161 4.271
Dy Er P Rh
2 1 3 12
Direct
0.128 0.128 0.128
0.872 0.872 0.872
0.500 0.500 0.500
0.000 0.500 0.500
0.500 0.000 0.500
0.500 0.500 0.000
0.130 0.130 0.593
0.130 0.593 0.130
0.163 0.679 0.679
0.321 0.321 0.837
0.321 0.837 0.321
0.407 0.870 0.870
0.593 0.130 0.130
0.679 0.163 0.679
0.679 0.679 0.163
0.837 0.321 0.321
0.870 0.407 0.870
0.870 0.870 0.407

DyErP2Rh5 | Alexandria via LeMat-Bulk | PBE-GGA | optimized geometry; calculated volume = 173 Å³/cell; uncorrected energy = -63.43 eV for the cell shown; formation energy = -0.74 eV per atom
1.0
4.006 0.000 0.000
0.000 4.006 0.000
0.000 0.000 10.783
Dy Er P Rh
1 1 2 5
Direct
0.000 0.000 0.000
0.000 0.000 0.500
0.500 0.500 0.210
0.500 0.500 0.790
0.000 0.500 0.306
0.000 0.500 0.694
0.500 0.000 0.306
0.500 0.000 0.694
0.500 0.500 0.000

DyErPS | Alexandria via LeMat-Bulk | PBE-GGA | optimized geometry; formation energy from raw total energies = -1863 meV per atom; calculated volume = 87 Å³/cell; uncorrected energy = -26.15 eV for the cell shown
1.0
1.969 1.137 6.456
-1.969 1.137 6.456
0.000 -2.274 6.456
Dy Er P S
1 1 1 1
Direct
0.000 0.000 0.000
0.494 0.494 0.494
0.748 0.748 0.748
0.246 0.246 0.246

Dy2ErScP4 | Alexandria via LeMat-Bulk | PBE-GGA | optimized geometry; calculated volume = 173 Å³/cell; uncorrected energy = -54.28 eV for the cell shown; formation energy = -1.57 eV per atom
1.0
6.817 0.000 0.000
0.000 3.941 0.000
-2.274 0.000 6.429
Dy Er Sc P
2 1 1 4
Direct
0.000 0.000 0.000
0.000 0.500 0.500
0.500 0.000 0.500
0.500 0.500 0.000
0.257 0.500 0.247
0.261 0.000 0.759
0.739 0.000 0.241
0.743 0.500 0.753